1.
Entry from Alexandria via LeMat-Bulk: a geometry-optimized RbLaAs2Br structure (PBE-GGA).

a b c (Å): 5.7795 6.0570 5.7795
angles (deg): 90.00 90.00 90.00
Last column: nearest neighbours and their distance in Å.
Fractional coordinates of all 5 atoms:
As 0.0000 0.0000 0.5000  2 La 2.89
As 0.5000 0.0000 0.0000  2 La 2.89
Br 0.0000 0.5000 0.0000  2 La 3.03
Rb 0.5000 0.5000 0.5000  4 Br 4.09, 8 As 4.19
La 0.0000 0.0000 0.0000  4 As 2.89, 2 Br 3.03

2.
Entry from Alexandria via LeMat-Bulk: a geometry-optimized LaReAs2Br structure (PBE-GGA).

a b c (Å): 4.7350 5.9641 4.7350
angles (deg): 90.00 90.00 90.00
Last column: nearest neighbours and their distance in Å.
Fractional coordinates of all 5 atoms:
Re 0.0000 0.0000 0.0000  4 As 2.37
As 0.0000 0.0000 0.5000  2 Re 2.37
As 0.5000 0.0000 0.0000  2 Re 2.37
Br 0.5000 0.5000 0.5000  4 La 3.35
La 0.0000 0.5000 0.0000  2 Re 2.98

3.
Entry from Alexandria via LeMat-Bulk: a geometry-optimized LaReAs2Br structure (PBE-GGA).

a b c (Å): 5.7556 5.7556 5.6457
angles (deg): 90.00 90.00 90.00
Last column: nearest neighbours and their distance in Å.
Fractional coordinates of all 5 atoms:
Re 0.5000 0.5000 0.5000  8 As 4.03, 4 Br 4.07
As 0.0000 0.5000 0.0000  2 La 2.88
As 0.5000 0.0000 0.0000  2 La 2.88
Br 0.0000 0.0000 0.5000  2 La 2.82
La 0.0000 0.0000 0.0000  2 Br 2.82, 4 As 2.88

Looking at Fermi-level density of states for the records above, in order, we have 3.88 2.76 4.72 states/eV/f.u..
Looking at ΔE_f (raw) for the records above, in order, we have -3.0 -2.2 5.9 eV/f.u..